1.
TaIn2P: relaxed, GGA-PBE.

```
4
Lattice="-0.449 2.807 -1.670 -2.094 -1.541 -2.027 -5.856 1.833 4.655" Properties=species:S:1:pos:R:3 pbc="T T T"
In -2.950 1.158 -0.514
In -5.625 1.761 4.472
P -3.289 1.030 2.615
Ta -5.317 1.899 1.367
```

Results
Raw total energy   -0.426 Ry/atom
DOS(E_F)   2.1 states/eV/f.u.
Total magnetic moment   0.000 Bohr magnetons per cell



2.
TaHgBr6: relaxed, GGA-PBE.

```
8
Lattice="7.166 -0.084 -1.152 -1.730 6.421 -2.500 -0.283 -0.942 7.036" Properties=species:S:1:pos:R:3 pbc="T T T"
Hg 2.577 2.697 1.692
Br 0.953 2.277 -0.686
Br 1.383 0.084 2.155
Br 5.272 1.064 0.022
Br 4.201 3.118 4.069
Br -0.119 4.331 3.362
Br 3.770 5.311 1.229
Ta 0.000 0.000 0.000
```

Results
Formation energy without anion corrections   -717.7 meV/atom
DOS(E_F)   2.9 states/eV/f.u.
Total magnetic moment   0.000 Bohr magnetons per cell



3.
Co24Ni5: relaxed, GGA-PBE.

```
29
Lattice="-4.392 3.174 -5.143 2.566 -6.518 -2.597 -3.928 -1.180 6.244" Properties=species:S:1:pos:R:3 pbc="T T T"
Ni -1.552 1.122 -1.817
Ni -3.721 -2.925 -0.967
Ni 0.000 0.000 0.000
Ni 0.907 -2.303 -0.918
Ni -1.388 -0.417 2.207
Co -1.312 -2.300 0.425
Co -2.644 -0.445 -0.063
Co -4.947 -0.486 0.015
Co -2.173 -4.350 1.030
Co -1.825 -0.165 -3.918
Co -3.691 -0.794 -2.232
Co -3.759 0.300 2.119
Co 0.504 -4.945 -1.911
Co -1.478 -3.877 -1.422
Co -3.560 -1.604 3.621
Co -1.546 -2.783 2.928
Co -1.401 -1.467 -1.755
Co -0.384 -6.008 1.808
Co -1.571 -5.033 3.423
Co -3.850 1.121 -3.505
Co -6.009 1.828 -0.251
Co -3.544 -2.179 1.390
Co -5.925 1.032 1.830
Co -2.357 -2.614 -3.509
Co -1.945 -1.512 -5.783
Co 0.293 -4.295 0.425
Co -3.890 1.533 -1.106
Co -0.674 -3.284 -5.318
Co 0.146 -2.909 -3.197
```

Results
Raw total energy   -0.502 Ry/atom
DOS(E_F)   32.3 states/eV/f.u.
Total magnetic moment   41.920 Bohr magnetons per cell